1.
Material: TaInAgAu2
Method: DFT, PBE-GGA
State: optimized geometry

## Properties
Total magnetic moment ... 0.53 μB per atom
ΔE_f ... 1.323 eV per atom
E ... -17.4 eV/f.u.
N(E_F) ... 0.9649 states/eV/atom

a = 5.0771 Å, b = 5.0378 Å, c = 5.0771 Å
α = 90.00°, β = 90.00°, γ = 90.00°
Positions (direct):
Ag 0.0000 0.5000 0.0000
In 0.0000 0.0000 0.0000
Au 0.5000 0.0000 0.0000
Au 0.0000 0.0000 0.5000
Ta 0.5000 0.5000 0.5000

***

2.
Material: Tb4InAg2Au
Method: DFT, PBE-GGA
State: optimized geometry

## Properties
Total magnetic moment ... 0.00 μB per atom
ΔE_f ... -0.497 eV per atom
E ... -34.2 eV/f.u.
N(E_F) ... 0.7042 states/eV/atom

a = 5.1940 Å, b = 5.1940 Å, c = 9.0040 Å
α = 73.24°, β = 73.24°, γ = 60.00°
Positions (direct):
Tb 0.8706 0.8706 0.3882
Tb 0.3803 0.3803 0.8590
Tb 0.1294 0.1294 0.6118
Tb 0.6197 0.6197 0.1410
Ag 0.7431 0.7431 0.7708
Ag 0.2569 0.2569 0.2292
Au 0.5000 0.5000 0.5000
In 0.0000 0.0000 0.0000

***

3.
Material: In2TcAgAu
Method: DFT, PBE-GGA
State: optimized geometry

## Properties
Total magnetic moment ... 0.36 μB per atom
ΔE_f ... 0.898 eV per atom
E ... -17.5 eV/f.u.
N(E_F) ... 0.7787 states/eV/atom

a = 5.1887 Å, b = 5.1065 Å, c = 5.1887 Å
α = 90.00°, β = 90.00°, γ = 90.00°
Positions (direct):
Ag 0.0000 0.5000 0.0000
In 0.0000 0.0000 0.5000
In 0.5000 0.0000 0.0000
Tc 0.0000 0.0000 0.0000
Au 0.5000 0.5000 0.5000

***

4.
Material: In2AgTe4Au
Method: DFT, PBE-GGA
State: optimized geometry

## Properties
Total magnetic moment ... 0.00 μB per atom
E ... -24.2 eV/f.u.
Formation energy without anion corrections ... 0.003 eV/atom
N(E_F) ... 0.4530 states/eV/atom

a = 6.9959 Å, b = 6.9959 Å, c = 6.9959 Å
α = 110.13°, β = 110.13°, γ = 108.16°
Positions (direct):
Au 0.0000 0.0000 0.0000
Ag 0.5000 0.5000 0.0000
Te 0.9253 0.9253 0.3355
Te 0.4102 0.0747 0.0000
Te 0.5898 0.5898 0.6645
Te 0.0747 0.4102 0.0000
In 0.2500 0.7500 0.5000
In 0.7500 0.2500 0.5000

***

5.
Material: InAgTeAu2
Method: DFT, PBE-GGA
State: optimized geometry

## Properties
Total magnetic moment ... 0.00 μB per atom
E ... -12.5 eV/f.u.
Formation energy without anion corrections ... 0.565 eV/atom
N(E_F) ... 0.4342 states/eV/atom

a = 5.1530 Å, b = 5.8763 Å, c = 5.1530 Å
α = 90.00°, β = 90.00°, γ = 90.00°
Positions (direct):
Ag 0.5000 0.5000 0.5000
Te 0.0000 0.5000 0.0000
Au 0.5000 0.0000 0.0000
Au 0.0000 0.0000 0.5000
In 0.0000 0.0000 0.0000

***

6.
Material: InAgTe4Au2
Method: DFT, PBE-GGA
State: optimized geometry

## Properties
Total magnetic moment ... 0.00 μB per atom
E ... -25.7 eV/f.u.
Formation energy without anion corrections ... -0.124 eV/atom
N(E_F) ... 0.6921 states/eV/atom

a = 6.3667 Å, b = 6.3667 Å, c = 7.8750 Å
α = 113.83°, β = 113.83°, γ = 90.01°
Positions (direct):
Te 0.6136 0.6136 0.7397
Te 0.3862 0.8742 0.2604
Te 0.8742 0.3862 0.2604
Te 0.1261 0.1261 0.7396
Au 0.7501 0.2501 0.5002
Au 0.2501 0.7501 0.5002
Ag 0.5002 0.5002 0.0004
In 0.9999 0.9999 0.9998

***

7.
Material: ThInAgAu
Method: DFT, PBE-GGA
State: optimized geometry

## Properties
Total magnetic moment ... 0.00 μB per atom
ΔE_f ... -0.433 eV per atom
E ... -18.0 eV/f.u.
N(E_F) ... 0.4387 states/eV/atom

a = 5.0778 Å, b = 5.0778 Å, c = 5.0778 Å
α = 60.00°, β = 60.00°, γ = 60.00°
Positions (direct):
In 0.0000 0.0000 0.0000
Th 0.5000 0.5000 0.5000
Au 0.7500 0.7500 0.7500
Ag 0.2500 0.2500 0.2500

***

8.
Material: TlInAgAu
Method: DFT, PBE-GGA
State: optimized geometry

## Properties
Total magnetic moment ... 0.00 μB per atom
ΔE_f ... 0.057 eV per atom
E ... -11.0 eV/f.u.
N(E_F) ... 0.6555 states/eV/atom

a = 5.0416 Å, b = 5.0416 Å, c = 5.0416 Å
α = 60.00°, β = 60.00°, γ = 60.00°
Positions (direct):
Au 0.7500 0.7500 0.7500
In 0.5000 0.5000 0.5000
Ag 0.2500 0.2500 0.2500
Tl 0.0000 0.0000 0.0000

***

9.
Material: Tl2In3AgAu12
Method: DFT, PBE-GGA
State: optimized geometry

## Properties
Total magnetic moment ... 0.00 μB per atom
ΔE_f ... 0.004 eV per atom
E ... -55.0 eV/f.u.
N(E_F) ... 0.4608 states/eV/atom

a = 7.3020 Å, b = 7.3020 Å, c = 7.3020 Å
α = 82.75°, β = 82.75°, γ = 82.75°
Positions (direct):
Au 0.2862 0.7977 0.7977
Au 0.6134 0.6134 0.0661
Au 0.2023 0.7138 0.2023
Au 0.6134 0.0661 0.6134
Au 0.3866 0.3866 0.9339
Au 0.7977 0.7977 0.2862
Au 0.3866 0.9339 0.3866
Au 0.0661 0.6134 0.6134
Au 0.7138 0.2023 0.2023
Au 0.2023 0.2023 0.7138
Au 0.9339 0.3866 0.3866
Au 0.7977 0.2862 0.7977
Tl 0.3738 0.3738 0.3738
Tl 0.6262 0.6262 0.6262
In 0.0000 0.0000 0.5000
In 0.0000 0.5000 0.0000
In 0.5000 0.0000 0.0000
Ag 0.0000 0.0000 0.0000

***

10.
Material: YInAgAu
Method: DFT, PBE-GGA
State: optimized geometry

## Properties
Total magnetic moment ... 0.00 μB per atom
ΔE_f ... -0.550 eV per atom
E ... -17.5 eV/f.u.
N(E_F) ... 0.5343 states/eV/atom

a = 4.9473 Å, b = 4.9473 Å, c = 4.9473 Å
α = 60.00°, β = 60.00°, γ = 60.00°
Positions (direct):
In 0.5000 0.5000 0.5000
Au 0.7500 0.7500 0.7500
Ag 0.2500 0.2500 0.2500
Y 0.0000 0.0000 0.0000

***

11.
Material: Zn2In2AgAu5
Method: DFT, PBE-GGA
State: optimized geometry

## Properties
Total magnetic moment ... 0.00 μB per atom
ΔE_f ... -0.103 eV per atom
E ... -28.3 eV/f.u.
N(E_F) ... 0.3211 states/eV/atom

a = 3.8106 Å, b = 10.0535 Å, c = 10.0535 Å
α = 90.00°, β = 90.00°, γ = 90.00°
Positions (direct):
Zn 0.0000 0.1372 0.6372
Zn 0.0000 0.6372 0.8628
Zn 0.0000 0.3628 0.1372
Zn 0.0000 0.8628 0.3628
Au 0.5000 0.5157 0.7094
Au 0.5000 0.0000 0.5000
Au 0.5000 0.4843 0.2906
Au 0.5000 0.2906 0.5157
Au 0.5000 0.2094 0.0157
Au 0.5000 0.9843 0.2094
Au 0.5000 0.0157 0.7906
Au 0.5000 0.7906 0.9843
Au 0.5000 0.5000 0.0000
Au 0.5000 0.7094 0.4843
In 0.0000 0.6733 0.1733
In 0.0000 0.3267 0.8267
In 0.0000 0.8267 0.6733
In 0.0000 0.1733 0.3267
Ag 0.0000 0.0000 0.0000
Ag 0.0000 0.5000 0.5000

***

12.
Material: ZrInAgAu
Method: DFT, PBE-GGA
State: optimized geometry

## Properties
Total magnetic moment ... 0.00 μB per atom
ΔE_f ... -0.290 eV per atom
E ... -18.6 eV/f.u.
N(E_F) ... 0.4369 states/eV/atom

a = 4.8182 Å, b = 4.8182 Å, c = 4.8182 Å
α = 60.00°, β = 60.00°, γ = 60.00°
Positions (direct):
Ag 0.2500 0.2500 0.2500
Zr 0.0000 0.0000 0.0000
Au 0.7500 0.7500 0.7500
In 0.5000 0.5000 0.5000

***

13.
Material: ZrInAg2Au
Method: DFT, PBE-GGA
State: optimized geometry

## Properties
Total magnetic moment ... 0.00 μB per atom
ΔE_f ... 0.656 eV per atom
E ... -17.0 eV/f.u.
N(E_F) ... 0.6726 states/eV/atom

a = 5.0441 Å, b = 5.0493 Å, c = 5.0441 Å
α = 90.00°, β = 90.00°, γ = 90.00°
Positions (direct):
In 0.0000 0.5000 0.0000
Ag 0.5000 0.0000 0.0000
Ag 0.0000 0.0000 0.5000
Au 0.0000 0.0000 0.0000
Zr 0.5000 0.5000 0.5000

***

14.
Material: AgIrAu3
Method: DFT, PBE-GGA
State: optimized geometry

## Properties
Total magnetic moment ... 0.15 μB per atom
ΔE_f ... 1.613 eV per atom
E ... -13.5 eV/f.u.
Relative energy among the computed polymorphs ... 602 meV/atom
N(E_F) ... 0.7704 states/eV/atom

a = 4.9457 Å, b = 4.9457 Å, c = 4.9457 Å
α = 90.00°, β = 90.00°, γ = 90.00°
Positions (direct):
Au 0.5000 0.0000 0.0000
Au 0.0000 0.0000 0.5000
Au 0.0000 0.5000 0.0000
Ag 0.0000 0.0000 0.0000
Ir 0.5000 0.5000 0.5000

***

15.
Material: AgIr4Au
Method: DFT, PBE-GGA
State: optimized geometry

## Properties
Total magnetic moment ... 0.43 μB per atom
ΔE_f ... 0.610 eV per atom
E ... -37.9 eV/f.u.
N(E_F) ... 1.6248 states/eV/atom

a = 5.2302 Å, b = 5.2302 Å, c = 5.2302 Å
α = 60.00°, β = 60.00°, γ = 60.00°
Positions (direct):
Ir 0.6250 0.6250 0.1250
Ir 0.6250 0.6250 0.6250
Ir 0.1250 0.6250 0.6250
Ir 0.6250 0.1250 0.6250
Ag 0.2500 0.2500 0.2500
Au 0.0000 0.0000 0.0000

***

16.
Material: AgIrAu3
Method: DFT, PBE-GGA
State: optimized geometry

## Properties
Total magnetic moment ... 0.00 μB per atom
ΔE_f ... 1.010 eV per atom
E ... -16.5 eV/f.u.
Relative energy among the computed polymorphs ... 0 meV/atom
N(E_F) ... 0.9742 states/eV/atom

a = 5.0338 Å, b = 5.0338 Å, c = 5.0338 Å
α = 90.00°, β = 90.00°, γ = 90.00°
Positions (direct):
Au 0.5000 0.0000 0.0000
Au 0.0000 0.5000 0.0000
Au 0.0000 0.0000 0.5000
Ag 0.5000 0.5000 0.5000
Ir 0.0000 0.0000 0.0000

***

17.
Material: Ag2IrAu2
Method: DFT, PBE-GGA
State: optimized geometry

## Properties
Total magnetic moment ... 0.00 μB per atom
ΔE_f ... 0.491 eV per atom
E ... -18.7 eV/f.u.
N(E_F) ... 0.7415 states/eV/atom

a = 6.9431 Å, b = 6.9431 Å, c = 3.8763 Å
α = 90.00°, β = 90.00°, γ = 90.00°
Positions (direct):
Au 0.3618 0.8618 0.0000
Au 0.6382 0.1382 0.0000
Au 0.1382 0.3618 0.0000
Au 0.8618 0.6382 0.0000
Ag 0.3338 0.1662 0.5000
Ag 0.6662 0.8338 0.5000
Ag 0.8338 0.3338 0.5000
Ag 0.1662 0.6662 0.5000
Ir 0.5000 0.5000 0.0000
Ir 0.0000 0.0000 0.0000

***

18.
Material: La2AgIrAu
Method: DFT, PBE-GGA
State: optimized geometry

## Properties
Total magnetic moment ... 0.00 μB per atom
ΔE_f ... -0.618 eV per atom
E ... -27.9 eV/f.u.
N(E_F) ... 0.6000 states/eV/atom

a = 4.2784 Å, b = 4.2784 Å, c = 13.9256 Å
α = 90.00°, β = 90.00°, γ = 90.00°
Positions (direct):
Ir 0.0000 0.5000 0.8901
Ir 0.5000 0.0000 0.1099
Au 0.5000 0.0000 0.6451
Au 0.0000 0.5000 0.3549
La 0.5000 0.0000 0.3022
La 0.0000 0.5000 0.6978
La 0.0000 0.5000 0.1050
La 0.5000 0.0000 0.8950
Ag 0.5000 0.5000 0.5000
Ag 0.0000 0.0000 0.5000

***

19.
Material: AgIrAuN2
Method: DFT, PBE-GGA
State: optimized geometry

## Properties
Total magnetic moment ... 0.00 μB per atom
E ... -26.9 eV/f.u.
Formation energy without anion corrections ... 0.942 eV/atom
N(E_F) ... 0.4780 states/eV/atom

a = 3.7736 Å, b = 6.2026 Å, c = 3.7736 Å
α = 90.00°, β = 90.00°, γ = 90.00°
Positions (direct):
Ir 0.0000 0.0000 0.0000
N 0.5000 0.0000 0.0000
N 0.0000 0.0000 0.5000
Ag 0.0000 0.5000 0.0000
Au 0.5000 0.5000 0.5000

***

20.
Material: AgIr2AuN
Method: DFT, PBE-GGA
State: optimized geometry

## Properties
Total magnetic moment ... 0.55 μB per atom
E ... -20.5 eV/f.u.
Formation energy without anion corrections ... 2.344 eV/atom
N(E_F) ... 1.4637 states/eV/atom

a = 5.0192 Å, b = 3.6737 Å, c = 5.0192 Å
α = 90.00°, β = 90.00°, γ = 90.00°
Positions (direct):
N 0.0000 0.5000 0.0000
Ir 0.0000 0.0000 0.5000
Ir 0.5000 0.0000 0.0000
Au 0.5000 0.5000 0.5000
Ag 0.0000 0.0000 0.0000